(1)
MgZn2P: optimized geometry, PBE.

a b c (Å): 4.843 4.843 4.139
angles (deg): 92.84 92.84 47.49
Atoms (fractional coordinates):
1 Mg 0.000 0.000 0.000
2 Zn 0.432 0.432 0.463
3 Zn 0.709 0.709 0.573
4 P 0.286 0.286 0.947

Energy of formation from the pure elements: -44 kJ/mol of formula units
Density: 4.32 g/cm³

---

(2)
BaRu2RhCl: optimized geometry, PBE.

a b c (Å): 5.254 5.254 5.129
angles (deg): 90.00 90.00 90.00
Atoms (fractional coordinates):
1 Ba 0.000 0.000 0.000
2 Ru 0.000 0.500 0.000
3 Ru 0.500 0.000 0.000
4 Rh 0.000 0.000 0.500
5 Cl 0.500 0.500 0.500

Density: 5.60 g/cm³
Formation energy without anion corrections: 2.294 eV per atom

---

(3)
NaZnHg3: optimized geometry, PBE.

a b c (Å): 6.437 6.437 6.437
angles (deg): 134.61 134.61 66.14
Atoms (fractional coordinates):
1 Na 0.000 0.000 0.000
2 Zn 0.650 0.650 0.000
3 Hg 0.244 0.744 0.500
4 Hg 0.407 0.407 0.000
5 Hg 0.744 0.244 0.500

ΔE to the lowest computed polymorph: 0 meV per atom
Energy of formation from the pure elements: -28 kJ/mol of formula units
Density: 8.61 g/cm³

---

(4)
Nd2Mg3In3: optimized geometry, PBE.

a b c (Å): 4.737 4.793 9.110
angles (deg): 90.00 90.00 90.00
Atoms (fractional coordinates):
1 Nd 0.000 0.000 0.248
2 Nd 0.000 0.000 0.752
3 Mg 0.000 0.500 0.500
4 Mg 0.500 0.500 0.249
5 Mg 0.500 0.500 0.751
6 In 0.000 0.500 0.000
7 In 0.500 0.000 0.000
8 In 0.500 0.000 0.500

Energy of formation from the pure elements: -275 kJ/mol of formula units
Density: 5.67 g/cm³